No. 1
Material: Cs4H5Pt
Method: DFT, PBE-GGA
State: relaxed

Cell: 6.236 7.325 7.325 Å, 79.56 64.81 64.81°
Element x y z (fractional)
Cs1 0.395 0.394 0.859
Cs2 0.788 0.859 0.606
Cs3 0.254 0.141 0.394
Cs4 0.648 0.606 0.141
H1 0.972 0.215 0.868
H2 0.187 0.868 0.785
H3 0.840 0.132 0.215
H4 0.055 0.785 0.132
H5 0.327 0.000 0.000
Pt1 0.042 0.000 0.000

Computed properties:
Crystal system ... tetragonal
Mass density ... 4.44 Mg/m³
DOS at the Fermi energy ... 2.52 states/eV per cell
VASP energy ... -0.103 hartree per atom



No. 2
Material: BiCI3
Method: DFT, PBE-GGA
State: relaxed

Cell: 5.149 5.149 5.149 Å, 90.00 90.00 90.00°
Element x y z (fractional)
I1 0.000 0.500 0.000
I2 0.000 0.000 0.500
I3 0.500 0.000 0.000
C1 0.000 0.000 0.000
Bi1 0.500 0.500 0.500

Computed properties:
Crystal system ... cubic
Mass density ... 7.32 Mg/m³
DOS at the Fermi energy ... 2.06 states/eV per cell
VASP energy ... -0.092 hartree per atom
Relative energy among the computed polymorphs ... 0.00 kJ/mol of atoms



No. 3
Material: NbGaPd4
Method: DFT, PBE-GGA
State: relaxed

Cell: 5.445 5.446 7.899 Å, 100.85 100.84 117.02°
Element x y z (fractional)
Nb1 0.875 0.125 0.250
Nb2 0.125 0.875 0.750
Ga1 0.375 0.625 0.250
Ga2 0.625 0.375 0.750
Pd1 0.221 0.969 0.439
Pd2 0.031 0.779 0.061
Pd3 0.282 0.530 0.561
Pd4 0.470 0.718 0.939
Pd5 0.779 0.031 0.561
Pd6 0.718 0.470 0.439
Pd7 0.969 0.221 0.939
Pd8 0.530 0.282 0.061

Computed properties:
Crystal system ... orthorhombic
Mass density ... 10.04 Mg/m³
DOS at the Fermi energy ... 7.14 states/eV per cell
ΔH_f (0 K) ... -181 kJ/mol of formula units
VASP energy ... -0.219 hartree per atom



No. 4
Material: AlZnCu2
Method: DFT, PBE-GGA
State: relaxed

Cell: 3.129 2.893 6.510 Å, 62.99 90.00 90.00°
Element x y z (fractional)
Zn1 0.500 0.250 0.250
Al1 0.500 0.750 0.750
Cu1 0.000 0.003 0.997
Cu2 0.000 0.497 0.503

Computed properties:
Crystal system ... monoclinic
Mass density ... 6.94 Mg/m³
DOS at the Fermi energy ... 0.94 states/eV per cell
ΔH_f (0 K) ... -60 kJ/mol of formula units
VASP energy ... -0.127 hartree per atom



No. 5
Material: TaBeAg2
Method: DFT, PBE-GGA
State: relaxed

Cell: 4.828 4.828 2.821 Å, 90.00 90.00 90.00°
Element x y z (fractional)
Be1 0.500 0.000 0.500
Ag1 0.000 0.000 0.000
Ag2 0.500 0.500 0.000
Ta1 0.000 0.500 0.500

Computed properties:
Crystal system ... tetragonal
Mass density ... 10.25 Mg/m³
DOS at the Fermi energy ... 1.39 states/eV per cell
ΔH_f (0 K) ... 235 kJ/mol of formula units
VASP energy ... -0.173 hartree per atom



No. 6
Material: TiZn2Cr
Method: DFT, PBE-GGA
State: relaxed

Cell: 4.378 4.378 4.378 Å, 60.00 60.00 60.00°
Each line ends with the local moment (μB).
Element x y z (fractional)
Cr1 0.500 0.500 0.500  2.98
Zn1 0.250 0.250 0.250  -0.01
Zn2 0.750 0.750 0.750  -0.01
Ti1 0.000 0.000 0.000  -0.39

Computed properties:
Crystal system ... cubic
Mass density ... 6.45 Mg/m³
DOS at the Fermi energy ... 3.93 states/eV per cell
ΔH_f (0 K) ... 12 kJ/mol of formula units
VASP energy ... -0.183 hartree per atom
Relative energy among the computed polymorphs ... 3.32 kJ/mol of atoms



No. 7
Material: SmTm3Rh
Method: DFT, PBE-GGA
State: relaxed

Cell: 7.300 7.300 7.161 Å, 106.06 113.28 109.94°
Each line ends with the local moment (μB).
Element x y z (fractional)
Sm1 0.722 0.047 0.769  0.07
Sm2 0.278 0.953 0.231  0.07
Tm1 0.842 0.069 0.310  0.10
Tm2 0.241 0.468 0.310  0.10
Tm3 0.759 0.532 0.690  0.10
Tm4 0.702 0.441 0.143  0.09
Tm5 0.158 0.931 0.690  0.10
Tm6 0.298 0.559 0.857  0.09
Rh1 0.644 0.740 0.385  0.01
Rh2 0.356 0.260 0.615  0.01

Computed properties:
Crystal system ... monoclinic
Mass density ... 8.71 Mg/m³
DOS at the Fermi energy ... 11.78 states/eV per cell
ΔH_f (0 K) ... -174 kJ/mol of formula units
VASP energy ... -0.201 hartree per atom
Relative energy among the computed polymorphs ... 0.00 kJ/mol of atoms



No. 8
Material: PmEuNi2
Method: DFT, PBE-GGA
State: relaxed

Cell: 3.487 3.487 6.988 Å, 90.00 90.00 90.00°
Each line ends with the local moment (μB).
Element x y z (fractional)
Eu1 0.500 0.500 0.500  6.82
Ni1 0.000 0.000 0.778  -0.04
Ni2 0.000 0.000 0.222  -0.04
Pm1 0.500 0.500 0.000  0.02

Computed properties:
Crystal system ... tetragonal
Mass density ... 8.10 Mg/m³
DOS at the Fermi energy ... 10.58 states/eV per cell
ΔH_f (0 K) ... -67 kJ/mol of formula units
VASP energy ... -0.251 hartree per atom
Relative energy among the computed polymorphs ... 0.00 kJ/mol of atoms



No. 9
Material: TeHPbI2
Method: DFT, PBE-GGA
State: relaxed

Cell: 6.321 6.321 6.204 Å, 90.00 90.00 90.00°
Each line ends with the local moment (μB).
Element x y z (fractional)
Pb1 0.000 0.000 0.000  0.00
I1 0.000 0.500 0.000  0.14
I2 0.500 0.000 0.000  0.14
Te1 0.000 0.000 0.500  0.68
H1 0.500 0.500 0.500  0.38

Computed properties:
Crystal system ... tetragonal
Mass density ... 3.95 Mg/m³
DOS at the Fermi energy ... 4.45 states/eV per cell
VASP energy ... -0.079 hartree per atom
Relative energy among the computed polymorphs ... 29.86 kJ/mol of atoms



No. 10
Material: DyTmAs2O8
Method: DFT, PBE-GGA
State: relaxed

Cell: 5.022 5.022 6.655 Å, 112.17 112.17 90.00°
Element x y z (fractional)
Dy1 0.750 0.250 0.500
Tm1 0.000 0.000 0.000
As1 0.500 0.500 0.000
As2 0.250 0.750 0.500
O1 0.732 0.832 0.157
O2 0.426 0.325 0.157
O3 0.584 0.681 0.660
O4 0.076 0.979 0.660
O5 0.021 0.416 0.340
O6 0.319 0.924 0.340
O7 0.168 0.574 0.843
O8 0.675 0.268 0.843

Computed properties:
Crystal system ... tetragonal
Mass density ... 7.13 Mg/m³
DOS at the Fermi energy ... 0.00 states/eV per cell
VASP energy ... -0.265 hartree per atom



No. 11
Material: CeSn2Ge2Pd7
Method: DFT, PBE-GGA
State: relaxed

Cell: 4.157 4.157 13.029 Å, 85.26 85.26 89.01°
Each line ends with the local moment (μB).
Element x y z (fractional)
Ce1 0.000 0.000 0.000  0.36
Sn1 0.923 0.923 0.345  0.00
Sn2 0.077 0.077 0.655  0.00
Ge1 0.566 0.566 0.721  0.00
Ge2 0.434 0.434 0.279  0.00
Pd1 0.500 0.500 0.000  -0.01
Pd2 0.285 0.285 0.464  0.00
Pd3 0.715 0.715 0.536  0.00
Pd4 0.961 0.459 0.163  -0.01
Pd5 0.459 0.961 0.163  -0.01
Pd6 0.541 0.039 0.837  -0.01
Pd7 0.039 0.541 0.837  -0.01

Computed properties:
Crystal system ... monoclinic
Mass density ... 9.42 Mg/m³
DOS at the Fermi energy ... 8.63 states/eV per cell
ΔH_f (0 K) ... -502 kJ/mol of formula units
VASP energy ... -0.198 hartree per atom



No. 12
Material: La4NdRu2
Method: DFT, PBE-GGA
State: relaxed

Cell: 6.840 8.112 7.928 Å, 111.69 90.00 90.00°
Element x y z (fractional)
La1 0.498 0.416 0.760
La2 0.250 0.243 0.310
La3 0.750 0.757 0.690
La4 0.002 0.416 0.760
La5 0.750 0.032 0.386
La6 0.998 0.584 0.240
La7 0.502 0.584 0.240
La8 0.250 0.968 0.614
Nd1 0.250 0.844 0.976
Nd2 0.750 0.156 0.024
Ru1 0.250 0.241 0.991
Ru2 0.750 0.759 0.009
Ru3 0.750 0.353 0.413
Ru4 0.250 0.647 0.587

Computed properties:
Crystal system ... monoclinic
Mass density ... 7.33 Mg/m³
DOS at the Fermi energy ... 16.14 states/eV per cell
ΔH_f (0 K) ... -109 kJ/mol of formula units
VASP energy ... -0.232 hartree per atom



> Number 3 is which compound?

NbGaPd4